CeTm2Th | GGA-PBE | optimized geometry

Cell lengths 3.5006, 3.5006, 34.4401 Å; angles 90.00, 90.00, 120.00 degrees
Space group R3m (No. 160, hexagonal axes)
Inequivalent atoms, fractional coordinates:
Ce  0.0000  0.0000  0.0000 [3 per cell]
Tm  0.0000  0.0000  0.4153 [3 per cell]
Tm  0.0000  0.0000  0.5851 [3 per cell]
Th  0.0000  0.0000  0.8339 [3 per cell]

Computed properties:
**Crystal system**: trigonal
**Offset from the most stable computed form**: 0.10 eV/f.u.
**E_form**: 26.1 kJ/mol of formula units
**M_tot**: 0.162 μB/atom